No. 1
Tl2PPt2 after structural relaxation, computed with PBE.

**E_tot**: -19.23 eV/f.u.
**Formation energy from the elements**: 0.598 eV per atom

Geometry as extended XYZ:
```
5
Lattice="-2.0563 2.0563 6.4186 2.0563 -2.0563 6.4186 2.0563 2.0563 -6.4186" Properties=species:S:1:pos:R:3 pbc="T T T"
Tl 2.0563 0.0000 3.2093
Tl 0.0000 2.0563 3.2093
P 0.0000 0.0000 0.0000
Pt 0.0000 0.0000 5.1349
Pt 0.0000 0.0000 7.7024
```

No. 2
La4Te2AsPt after structural relaxation, computed with PBE.

**E_tot**: -48.48 eV/f.u.
**Formation energy without anion corrections**: -1.47 eV per atom

Geometry as extended XYZ:
```
8
Lattice="7.7525 0.0000 0.0000 0.0000 4.3631 0.0000 -2.5573 0.0000 7.4619" Properties=species:S:1:pos:R:3 pbc="T T T"
La 1.2465 0.0000 1.6177
La 0.0380 2.1815 5.7692
La 5.1572 2.1815 1.6927
La 3.9487 0.0000 5.8443
Te -1.2786 0.0000 3.7310
Te 2.5976 2.1815 3.7310
As 3.8763 0.0000 0.0000
Pt 0.0000 2.1815 0.0000
```